First-principles (PBE) data for HoTm12Tl3 after structural relaxation, as listed in Alexandria.

Geometry as POSCAR:
```
HoTm12Tl3
1.0
4.8067 0.0000 0.0000
0.0000 4.8067 0.0000
0.0000 0.0000 19.5537
Ho Tm Tl
1 12 3
Direct
0.0000 0.0000 0.0000
0.0000 0.5000 0.1291
0.0000 0.5000 0.3772
0.0000 0.5000 0.6228
0.0000 0.5000 0.8709
0.5000 0.0000 0.1291
0.5000 0.0000 0.3772
0.5000 0.0000 0.6228
0.5000 0.0000 0.8709
0.5000 0.5000 0.0000
0.5000 0.5000 0.2546
0.5000 0.5000 0.5000
0.5000 0.5000 0.7454
0.0000 0.0000 0.2560
0.0000 0.0000 0.5000
0.0000 0.0000 0.7440
```

Output
ΔH_f (0 K)	-114	meV per atom
total DFT energy (no corrections)	-67.16	eV/cell
magnetic moment	0.00	μB/atom